A relaxed structure of LaReNi2Pb, computed with PBEsol.

Unit cell a=4.6696 b=4.6696 c=5.0991 alpha=90.00 beta=90.00 gamma=90.00
With the nearest neighbours (Å) after each atom.
Atoms (fractional coordinates):
Ni: 0.0000 0.5000 0.0000  2 Pb 2.33
Ni: 0.5000 0.0000 0.0000  2 Pb 2.33
Pb: 0.0000 0.0000 0.0000  4 Ni 2.33, 2 Re 2.55
La: 0.5000 0.5000 0.5000  4 Re 3.30, 8 Ni 3.46
Re: 0.0000 0.0000 0.5000  2 Pb 2.55

Calculated values
The value obtained for the formation energy from the elements is 1.104 eV per atom. The value obtained for the total energy is -0.217 Ha/atom.